Record 1
First-principles (PBE) data for a geometry-optimized YHo2Tl3AgPt2 structure, as listed in OQMD.

total energy	-87.168	eV/cell

Cell: 3.756 13.750 7.912 Å, 90.00 90.00 90.00°
Space group Amm2 (No. 38)
One atom of each set of equivalent atoms:
1 Y 0.000 0.000 0.000
2 Ho 0.000 0.205 0.386
3 Tl 0.500 0.000 0.320
4 Tl 0.500 0.135 0.726
5 Ag 0.000 0.000 0.590
6 Pt 0.500 0.168 0.091

***

Record 2
First-principles (PBE) data for a geometry-optimized SrLa2Pt9 structure, as listed in OQMD.

total energy	-229.044	eV/cell

Cell: 5.5050 5.5050 26.8064 Å, 90.00 90.00 120.00°
Space group R-3m (No. 166, hexagonal axes)
One atom of each set of equivalent atoms:
1 Sr 0.0000 0.0000 0.0000
2 La 0.0000 0.0000 0.1390
3 Pt 0.0000 0.0000 0.3323
4 Pt 0.0000 0.0000 0.5000
5 Pt 0.0037 0.5018 0.9159

***

Record 3
First-principles (PBE) data for a geometry-optimized NdYFe2Co6B2 structure, as listed in OQMD.

energy relative to the lowest polymorph listed for this composition	16.0	meV per atom

Cell: 5.1045 5.1045 6.7899 Å, 90.00 90.00 120.00°
Space group P6/mmm (No. 191)
One atom of each set of equivalent atoms:
1 Nd 0.0000 0.0000 0.0000
2 Y 0.0000 0.0000 0.5000
3 Fe 0.3333 0.6667 0.5000
4 Co 0.0000 0.5000 0.2130
5 B 0.3333 0.6667 0.0000

***

Record 4
First-principles (PBE) data for a geometry-optimized Dy2BrNCl2 structure, as listed in OQMD.

energy relative to the lowest polymorph listed for this composition	6.9	meV per atom

Cell: 16.988 3.834 10.806 Å, 90.00 122.46 90.00°
Space group C2/m (No. 12)
One atom of each set of equivalent atoms:
1 Dy 0.080 0.000 0.456
2 Dy 0.137 0.500 0.794
3 Br 0.044 0.500 0.230
4 N 0.075 0.000 0.658
5 Cl 0.172 0.000 0.017
6 Cl 0.212 0.500 0.611